TbSm2Gd PBE relaxed; magnetization = 2.23 μB/atom; SG = Fm-3m, No. 225; distance to the lowest polymorph of the same formula = 107 meV per atom; VASP energy = -6.917 eV per atom; formation energy = 11.6 kJ per mole of atoms; V = 33.3 Å³ per atom
1.0
5.733 0.000 0.000
2.867 4.965 0.000
2.867 1.655 4.681
Gd Tb Sm
1 1 2
direct
0.500 0.500 0.500 Gd
0.000 0.000 0.000 Tb
0.250 0.250 0.250 Sm
0.750 0.750 0.750 Sm